DFT (PBE with a Hubbard U) results for SmAg2MoO6 after structural relaxation.

```
data_SmAg2MoO6
_cell_length_a 5.684
_cell_length_b 5.746
_cell_length_c 5.875
_cell_angle_alpha 62.91
_cell_angle_beta 61.11
_cell_angle_gamma 60.78
_space_group_name_H-M_alt 'P 1'
_space_group_IT_number 1
_space_group_name_Hall 'P 1'
loop_
_atom_site_label
_atom_site_type_symbol
_atom_site_fract_x
_atom_site_fract_y
_atom_site_fract_z
Sm1 Sm 0.000 0.000 0.000
Ag1 Ag 0.298 0.288 0.135
Ag2 Ag 0.764 0.753 0.747
Mo1 Mo 0.504 0.508 0.491
O1 O 0.154 0.371 0.791
O2 O 0.272 0.790 0.292
O3 O 0.383 0.725 0.727
O4 O 0.599 0.239 0.319
O5 O 0.689 0.166 0.775
O6 O 0.845 0.585 0.286
```

Properties
spin magnetization: 0.78 μB per cell
theoretical density: 6.6 g/cm³
D(E_F): 0.462 states/eV/atom
E_tot: -6.17 eV/atom

DFT (PBE with a Hubbard U) results for Sr2AgMoO6 after structural relaxation.

```
data_Sr2AgMoO6
_cell_length_a 5.856
_cell_length_b 6.124
_cell_length_c 9.805
_cell_angle_alpha 90.00
_cell_angle_beta 126.27
_cell_angle_gamma 90.00
_space_group_name_H-M_alt 'P 1 21/c 1'
_space_group_IT_number 14
_space_group_name_Hall '-P 2ybc'
loop_
_atom_site_label
_atom_site_type_symbol
_atom_site_fract_x
_atom_site_fract_y
_atom_site_fract_z
Sr1 Sr 0.239 0.058 0.249
Ag1 Ag 0.000 0.000 0.500
Mo1 Mo 0.500 0.000 0.000
O1 O 0.186 0.171 0.959
O2 O 0.281 0.734 0.948
O3 O 0.352 0.036 0.761
```

Properties
spin magnetization: 0.00 μB per cell
theoretical density: 5.6 g/cm³
D(E_F): 0.440 states/eV/atom
E_tot: -6.20 eV/atom

DFT (PBE with a Hubbard U) results for SrAgMo2O8 after structural relaxation.

```
data_SrAgMo2O8
_cell_length_a 7.575
_cell_length_b 7.575
_cell_length_c 6.958
_cell_angle_alpha 90.00
_cell_angle_beta 90.00
_cell_angle_gamma 90.00
_space_group_name_H-M_alt 'I -4 m 2'
_space_group_IT_number 119
_space_group_name_Hall 'I -4 -2'
loop_
_atom_site_label
_atom_site_type_symbol
_atom_site_fract_x
_atom_site_fract_y
_atom_site_fract_z
Sr1 Sr 0.000 0.000 0.000
Ag1 Ag 0.000 0.500 0.750
Mo1 Mo 0.000 0.000 0.500
Mo2 Mo 0.000 0.500 0.250
O1 O 0.000 0.188 0.659
O2 O 0.000 0.311 0.095
```

Properties
spin magnetization: 2.27 μB per cell
theoretical density: 4.3 g/cm³
D(E_F): 0.924 states/eV/atom
E_tot: -6.42 eV/atom

DFT (PBE with a Hubbard U) results for Sr2Ag2MoO6 after structural relaxation.

```
data_Sr2Ag2MoO6
_cell_length_a 6.132
_cell_length_b 10.747
_cell_length_c 6.425
_cell_angle_alpha 90.00
_cell_angle_beta 99.03
_cell_angle_gamma 90.00
_space_group_name_H-M_alt 'C 1 2/m 1'
_space_group_IT_number 12
_space_group_name_Hall '-C 2y'
loop_
_atom_site_label
_atom_site_type_symbol
_atom_site_fract_x
_atom_site_fract_y
_atom_site_fract_z
Sr1 Sr 0.000 0.165 0.000
Ag1 Ag 0.000 0.360 0.500
Mo1 Mo 0.000 0.500 0.000
O1 O 0.102 0.363 0.826
O2 O 0.211 0.000 0.844
```

Properties
spin magnetization: 0.00 μB per cell
theoretical density: 4.6 g/cm³
D(E_F): 0.000 states/eV/atom
E_tot: -5.85 eV/atom

DFT (PBE with a Hubbard U) results for Sr2AgMoO5 after structural relaxation.

```
data_Sr2AgMoO5
_cell_length_a 7.006
_cell_length_b 7.006
_cell_length_c 6.014
_cell_angle_alpha 90.00
_cell_angle_beta 90.00
_cell_angle_gamma 90.00
_space_group_name_H-M_alt 'P 4/m b m'
_space_group_IT_number 127
_space_group_name_Hall '-P 4 2ab'
loop_
_atom_site_label
_atom_site_type_symbol
_atom_site_fract_x
_atom_site_fract_y
_atom_site_fract_z
Sr1 Sr 0.182 0.318 0.000
Ag1 Ag 0.000 0.000 0.500
Mo1 Mo 0.000 0.500 0.500
O1 O 0.000 0.000 0.000
O2 O 0.132 0.632 0.274
```

Properties
spin magnetization: 2.06 μB per cell
theoretical density: 5.2 g/cm³
D(E_F): 0.248 states/eV/atom
E_tot: -5.88 eV/atom

DFT (PBE with a Hubbard U) results for TbAgMoO5 after structural relaxation.

```
data_TbAgMoO5
_cell_length_a 8.704
_cell_length_b 9.135
_cell_length_c 8.507
_cell_angle_alpha 90.00
_cell_angle_beta 118.87
_cell_angle_gamma 90.00
_space_group_name_H-M_alt 'C 1 2/c 1'
_space_group_IT_number 15
_space_group_name_Hall '-C 2yc'
loop_
_atom_site_label
_atom_site_type_symbol
_atom_site_fract_x
_atom_site_fract_y
_atom_site_fract_z
Tb1 Tb 0.000 0.000 0.000
Ag1 Ag 0.000 0.298 0.250
Mo1 Mo 0.000 0.362 0.750
O1 O 0.000 0.065 0.250
O2 O 0.007 0.247 0.584
O3 O 0.193 0.478 0.852
```

Properties
spin magnetization: 0.00 μB per cell
theoretical density: 5.0 g/cm³
D(E_F): 0.000 states/eV/atom
E_tot: -6.82 eV/atom

DFT (PBE with a Hubbard U) results for TcAgMoO6 after structural relaxation.

```
data_TcAgMoO6
_cell_length_a 5.2701
_cell_length_b 5.2701
_cell_length_c 9.8748
_cell_angle_alpha 90.00
_cell_angle_beta 90.00
_cell_angle_gamma 120.00
_space_group_name_H-M_alt 'P -3 1 c'
_space_group_IT_number 163
_space_group_name_Hall '-P 3 2c'
loop_
_atom_site_label
_atom_site_type_symbol
_atom_site_fract_x
_atom_site_fract_y
_atom_site_fract_z
Tc1 Tc 0.3333 0.6667 0.2500
Ag1 Ag 0.0000 0.0000 0.0000
Mo1 Mo 0.3333 0.6667 0.7500
O1 O 0.0016 0.3790 0.6416
```

Properties
spin magnetization: 4.01 μB per cell
theoretical density: 5.6 g/cm³
D(E_F): 0.385 states/eV/atom
E_tot: -6.70 eV/atom

DFT (PBE with a Hubbard U) results for AgTe2MoO8 after structural relaxation.

```
data_AgTe2MoO8
_cell_length_a 5.090
_cell_length_b 5.121
_cell_length_c 7.169
_cell_angle_alpha 79.31
_cell_angle_beta 80.26
_cell_angle_gamma 82.94
_space_group_name_H-M_alt 'P -1'
_space_group_IT_number 2
_space_group_name_Hall '-P 1'
loop_
_atom_site_label
_atom_site_type_symbol
_atom_site_fract_x
_atom_site_fract_y
_atom_site_fract_z
Ag1 Ag 0.000 0.000 0.000
Te1 Te 0.498 0.526 0.752
Mo1 Mo 0.000 0.000 0.500
O1 O 0.073 0.155 0.699
O2 O 0.269 0.193 0.304
O3 O 0.278 0.660 0.966
O4 O 0.278 0.695 0.554
```

Properties
spin magnetization: 0.00 μB per cell
theoretical density: 5.4 g/cm³
D(E_F): 0.222 states/eV/atom
E_tot: -5.64 eV/atom

Question: Which value of E_tot does entry 2 give?
Answer: -6.20 eV/atom

Question: Look up the D(E_F) of the first one.
Answer: 0.462 states/eV/atom

Question: Look up the E_tot of the third one.
Answer: -6.42 eV/atom